First-principles (PBE-GGA) data for Eu3InIr after structural relaxation, as listed in Alexandria.

Cell: 5.5786 5.5786 5.5786 Å, 90.00 90.00 90.00°
With the nearest neighbours (Å) after each atom.
Sites, in units of the cell vectors:
1 Ir 0.0000 0.0000 0.0000  6 Eu 2.79
2 Eu 0.0000 0.5000 0.0000  2 Ir 2.79
3 Eu 0.0000 0.0000 0.5000  2 Ir 2.79
4 Eu 0.5000 0.0000 0.0000  2 Ir 2.79
5 In 0.5000 0.5000 0.5000  12 Eu 3.94

## Properties
volume: 173.61 Å³ per cell
magnetization: 21.05 μB/f.u.
ΔE_f: -0.273 eV per atom
crystal system: cubic
DOS at the Fermi energy: 3.374 states/eV/atom